[1]
A relaxed structure of Mn2SiRu, computed with GGA-PBE.

## Properties
spin magnetization = 0.22 μB/cell
D(E_F) = 0.510 states/eV per atom
formation energy (no corrections) = -0.27 eV per atom
symmetry = Cm, No. 8

Cell lengths 4.506, 4.506, 4.322 Å; angles 73.96, 73.96, 37.38 degrees
Sites, in units of the cell vectors:
Ru 0.512 0.512 0.441
Mn 0.998 0.998 0.949
Mn 0.739 0.739 0.811
Si 0.251 0.251 0.298


[2]
A relaxed structure of MnSiRu2, computed with GGA-PBE.

## Properties
spin magnetization = 2.39 μB/cell
D(E_F) = 0.858 states/eV per atom
formation energy (no corrections) = -0.18 eV per atom
symmetry = Pmm2, No. 25

Cell lengths 2.793, 3.704, 5.121 Å; angles 90.00, 90.00, 90.00 degrees
Sites, in units of the cell vectors:
Ru 0.000 0.000 0.967
Ru 0.500 0.500 0.284
Mn 0.500 0.500 0.763
Si 0.000 0.000 0.486


[3]
A relaxed structure of MnSiRu2, computed with GGA-PBE.

## Properties
spin magnetization = 2.55 μB/cell
D(E_F) = 0.530 states/eV per atom
formation energy (no corrections) = -0.22 eV per atom
symmetry = I-4m2, No. 119

Cell lengths 4.706, 4.706, 4.706 Å; angles 134.31, 134.31, 66.60 degrees
Sites, in units of the cell vectors:
Si 0.500 0.500 0.000
Ru 0.000 0.000 0.000
Ru 0.250 0.750 0.500
Mn 0.750 0.250 0.500


[4]
A relaxed structure of MnSiRu2, computed with GGA-PBE.

## Properties
spin magnetization = 0.70 μB/cell
D(E_F) = 1.098 states/eV per atom
formation energy (no corrections) = -0.06 eV per atom
symmetry = R3m, No. 160

Cell lengths 8.311, 8.311, 8.311 Å; angles 18.70, 18.70, 18.70 degrees
Sites, in units of the cell vectors:
Mn 0.247 0.247 0.247
Ru 0.755 0.755 0.755
Ru 0.995 0.995 0.995
Si 0.503 0.503 0.503


[5]
A relaxed structure of MnSiRu3, computed with GGA-PBE.

## Properties
spin magnetization = 0.10 μB/cell
D(E_F) = 1.429 states/eV per atom
energy above the lowest structure with this stoichiometry = 0.00 eV/f.u.
formation energy (no corrections) = 1.06 eV per atom
symmetry = Pm-3m, No. 221

Cell lengths 4.313, 4.313, 4.313 Å; angles 90.00, 90.00, 90.00 degrees
Sites, in units of the cell vectors:
Ru 0.500 0.000 0.000
Ru 0.000 0.000 0.500
Ru 0.000 0.500 0.000
Mn 0.500 0.500 0.500
Si 0.000 0.000 0.000


[6]
A relaxed structure of MnSiRu2, computed with GGA-PBE.

## Properties
spin magnetization = 2.02 μB/cell
D(E_F) = 0.860 states/eV per atom
formation energy (no corrections) = -0.26 eV per atom
symmetry = Imm2, No. 44

Cell lengths 4.952, 4.952, 4.952 Å; angles 145.66, 130.36, 61.75 degrees
Sites, in units of the cell vectors:
Ru 0.005 0.005 0.000
Ru 0.731 0.231 0.500
Si 0.498 0.498 0.000
Mn 0.266 0.766 0.500


Final energy / eV per atom: -8.53, -8.47, -8.51, -8.34, -7.42, -8.55